Density functional theory data (PBE) for YTcIO2 after structural relaxation.

Unit cell a=4.0630 b=4.0630 c=5.5367 alpha=90.00 beta=90.00 gamma=90.00
With the nearest neighbours (Å) after each atom.
Fractional positions:
I (0.0000, 0.0000, 0.5000)  2 Tc 2.77, 4 Y 2.87
Y (0.5000, 0.5000, 0.5000)  4 I 2.87
Tc (0.0000, 0.0000, 0.0000)  4 O 2.03
O (0.0000, 0.5000, 0.0000)  2 Tc 2.03
O (0.5000, 0.0000, 0.0000)  2 Tc 2.03

Properties
For the energy above the lowest structure with this stoichiometry, the calculation gives 0.0 meV per atom. Its density of states at the Fermi level is 0.98 states/eV/atom. Its space group is P4/mmm (123). As for the uncorrected formation energy: -0.627 eV per atom.